Sr2NiRh: optimized geometry, PBEsol.

a = 4.285 Å, b = 4.530 Å, c = 10.473 Å
α = 90.00°, β = 90.00°, γ = 90.00°
Space group Amm2 (No. 38)
Symmetry-distinct sites (fractional):
1 Sr 0.000 0.000 0.000 (multiplicity 2)
2 Sr 0.500 0.000 0.288 (multiplicity 2)
3 Ni 0.000 0.000 0.688 (multiplicity 2)
4 Rh 0.500 0.000 0.601 (multiplicity 2)

Energy of formation from the pure elements in eV/f.u.: -0.4
Size of the total moment in μB per atom: 0.00
N(E_F) in states/eV/f.u.: 3.8